1.
DFT (GGA-PBE) results for a relaxed La2AlGaCo4 crystal.

Cell: 4.2278 4.2278 9.6531 Å, 90.00 90.00 120.00°
Fractional coordinates of all 8 atoms:
1 La 0.3333 0.6667 0.2499
2 Ga 0.0000 0.0000 0.0000
3 Al 0.0000 0.0000 0.5000
4 Co 0.6667 0.3333 0.0220
5 Co 0.3333 0.6667 0.5258
6 Co 0.3333 0.6667 0.9780
7 Co 0.6667 0.3333 0.4742
8 La 0.6667 0.3333 0.7501

---

2.
DFT (GGA-PBE) results for a relaxed NdHfFe crystal.

Cell: 4.5746 4.5746 4.5746 Å, 60.00 60.00 60.00°
Fractional coordinates of all 3 atoms:
1 Fe 0.0000 0.0000 0.0000
2 Hf 0.2500 0.2500 0.2500
3 Nd 0.7500 0.7500 0.7500

Results
Energy relative to the lowest polymorph listed for this composition (eV/atom): 0.000
Formation enthalpy at 0 K (eV/atom): 0.307

---

no.,E (eV per atom)
1,-5.930
2,-7.369